Here is a relaxed structure of GdEr from Alexandria. Energies are from PBE-GGA.

Unit cell a=3.988 b=3.988 c=3.988 alpha=90.00 beta=90.00 gamma=90.00
Space group Pm-3m (No. 221)
Symmetry-distinct sites (fractional):
Gd (0.000, 0.000, 0.000) x1
Er (0.500, 0.500, 0.500) x1

Calculated values
**Formation enthalpy at 0 K**: 0.101 eV/atom
**M_tot**: 7.77 μB/cell
**E**: -0.6777 Ry per atom